[1]
Here is crystalline AgPF2 at its relaxed geometry from Alexandria via LeMat-Bulk. Energies are from PBE-GGA.

Cell: 4.2393 4.2393 4.2393 Å, 60.00 60.00 60.00°
Atoms (fractional coordinates):
Ag  0.0000  0.0000  0.0000
P  0.5000  0.5000  0.5000
F  0.2500  0.2500  0.2500
F  0.7500  0.7500  0.7500

[2]
Here is crystalline AgPF2 at its relaxed geometry from Alexandria via LeMat-Bulk. Energies are from PBE-GGA.

Cell: 9.1913 9.1913 9.1913 Å, 17.36 17.36 17.36°
Atoms (fractional coordinates):
Ag  0.0000  0.0000  0.0000
P  0.5000  0.5000  0.5000
F  0.4382  0.4382  0.4382
F  0.5618  0.5618  0.5618

| no. | spin magnetization (μB/cell) | energy (eV per atom) | ΔE_f (raw) (kJ/mol of atoms) |
| --- | --- | --- | --- |
| 1 | 0.0 | -3.283 | -27.2 |
| 2 | 0.0 | -4.032 | -99.4 |